(1)
CsErCd17: optimized geometry, PBE.

```
data_CsErCd17
_cell_length_a 10.3023
_cell_length_b 10.3023
_cell_length_c 15.2706
_cell_angle_alpha 90.00
_cell_angle_beta 90.00
_cell_angle_gamma 120.00
_symmetry_space_group_name_H-M 'R 3 m'
_symmetry_Int_Tables_number 160
_symmetry_space_group_name_Hall 'R 3 -2"'
loop_
_atom_site_label
_atom_site_type_symbol
_atom_site_fract_x
_atom_site_fract_y
_atom_site_fract_z
Cs1 Cs 0.0000 0.0000 0.0000
Er1 Er 0.0000 0.0000 0.3358
Cd1 Cd 0.0000 0.0000 0.5536
Cd2 Cd 0.0000 0.0000 0.7512
Cd3 Cd 0.0413 0.3704 0.3298
Cd4 Cd 0.1769 0.3539 0.1371
Cd5 Cd 0.1792 0.3583 0.5010
Cd6 Cd 0.1931 0.3862 0.8532
```

Properties
**Calculated formation energy**: -0.78 eV per formula unit
**Volume**: 24.63 Å³ per atom

(2)
Cs2ErCdF6: optimized geometry, PBE.

```
data_Cs2ErCdF6
_cell_length_a 6.724
_cell_length_b 9.513
_cell_length_c 6.734
_cell_angle_alpha 90.00
_cell_angle_beta 90.00
_cell_angle_gamma 90.00
_symmetry_space_group_name_H-M 'P m m n'
_symmetry_Int_Tables_number 59
loop_
_symmetry_equiv_pos_as_xyz
'x,y,z'
'-x,-y,-z'
'-x+1/2,-y+1/2,z'
'x+1/2,y+1/2,-z'
'x+1/2,-y,-z'
'-x+1/2,y,z'
'-x,y+1/2,-z'
'x,-y+1/2,z'
loop_
_atom_site_label
_atom_site_type_symbol
_atom_site_fract_x
_atom_site_fract_y
_atom_site_fract_z
Cs1 Cs 0.250 0.000 0.249
Er1 Er 0.250 0.250 0.747
Cd1 Cd 0.250 0.750 0.750
F1 F 0.022 0.250 0.519
F2 F 0.022 0.250 0.974
F3 F 0.250 0.022 0.746
```

Properties
**Energy relative to the elements, uncorrected**: -2.998 eV per atom
**Volume**: 21.54 Å³ per atom

(3)
Cs2ErCdI6: optimized geometry, PBE.

```
data_Cs2ErCdI6
_cell_length_a 8.803
_cell_length_b 12.447
_cell_length_c 8.807
_cell_angle_alpha 90.00
_cell_angle_beta 90.00
_cell_angle_gamma 90.00
_symmetry_space_group_name_H-M 'P m m n'
_symmetry_Int_Tables_number 59
loop_
_symmetry_equiv_pos_as_xyz
'x,y,z'
'-x,-y,-z'
'-x+1/2,-y+1/2,z'
'x+1/2,y+1/2,-z'
'x+1/2,-y,-z'
'-x+1/2,y,z'
'-x,y+1/2,-z'
'x,-y+1/2,z'
loop_
_atom_site_label
_atom_site_type_symbol
_atom_site_fract_x
_atom_site_fract_y
_atom_site_fract_z
Cs1 Cs 0.250 0.001 0.249
Er1 Er 0.250 0.750 0.752
Cd1 Cd 0.250 0.250 0.748
I1 I 0.007 0.750 0.510
I2 I 0.008 0.750 0.994
I3 I 0.250 0.508 0.752
```

Properties
**Energy relative to the elements, uncorrected**: -1.193 eV per atom
**Volume**: 48.25 Å³ per atom

(4)
CsErCdS3: optimized geometry, PBE.

```
data_CsErCdS3
_cell_length_a 9.197
_cell_length_b 4.141
_cell_length_c 10.280
_cell_angle_alpha 90.00
_cell_angle_beta 111.15
_cell_angle_gamma 90.00
_symmetry_space_group_name_H-M 'P 1 21/m 1'
_symmetry_Int_Tables_number 11
loop_
_symmetry_equiv_pos_as_xyz
'x,y,z'
'-x,-y,-z'
'-x,y+1/2,-z'
'x,-y+1/2,z'
loop_
_atom_site_label
_atom_site_type_symbol
_atom_site_fract_x
_atom_site_fract_y
_atom_site_fract_z
Cs1 Cs 0.224 0.250 0.241
Er1 Er 0.333 0.750 0.869
Cd1 Cd 0.085 0.250 0.616
S1 S 0.131 0.250 0.870
S2 S 0.215 0.750 0.556
S3 S 0.478 0.750 0.143
```

Properties
**Energy relative to the elements, uncorrected**: -1.412 eV per atom
**Volume**: 30.43 Å³ per atom

(5)
Cs3Er2CdS6: optimized geometry, PBE.

```
data_Cs3Er2CdS6
_cell_length_a 7.065
_cell_length_b 12.231
_cell_length_c 8.367
_cell_angle_alpha 90.00
_cell_angle_beta 106.22
_cell_angle_gamma 90.00
_symmetry_space_group_name_H-M 'C 1 2/m 1'
_symmetry_Int_Tables_number 12
loop_
_symmetry_equiv_pos_as_xyz
'x,y,z'
'-x,-y,-z'
'-x,y,-z'
'x,-y,z'
'x+1/2,y+1/2,z'
'-x+1/2,-y+1/2,-z'
'-x+1/2,y+1/2,-z'
'x+1/2,-y+1/2,z'
loop_
_atom_site_label
_atom_site_type_symbol
_atom_site_fract_x
_atom_site_fract_y
_atom_site_fract_z
Cs1 Cs 0.000 0.000 0.000
Cs2 Cs 0.000 0.336 0.000
Er1 Er 0.000 0.167 0.500
Cd1 Cd 0.000 0.500 0.500
S1 S 0.221 0.000 0.681
S2 S 0.230 0.330 0.682
```

Properties
**Energy relative to the elements, uncorrected**: -1.359 eV per atom
**Volume**: 28.92 Å³ per atom

(6)
CsErCdSe3: optimized geometry, PBE.

```
data_CsErCdSe3
_cell_length_a 9.540
_cell_length_b 4.282
_cell_length_c 10.621
_cell_angle_alpha 90.00
_cell_angle_beta 111.35
_cell_angle_gamma 90.00
_symmetry_space_group_name_H-M 'P 1 21/m 1'
_symmetry_Int_Tables_number 11
loop_
_symmetry_equiv_pos_as_xyz
'x,y,z'
'-x,-y,-z'
'-x,y+1/2,-z'
'x,-y+1/2,z'
loop_
_atom_site_label
_atom_site_type_symbol
_atom_site_fract_x
_atom_site_fract_y
_atom_site_fract_z
Cs1 Cs 0.223 0.250 0.244
Er1 Er 0.332 0.750 0.869
Cd1 Cd 0.083 0.250 0.614
Se1 Se 0.126 0.250 0.871
Se2 Se 0.221 0.750 0.555
Se3 Se 0.476 0.750 0.148
```

Properties
**Energy relative to the elements, uncorrected**: -1.350 eV per atom
**Volume**: 33.68 Å³ per atom

(7)
CsErCdTe3: optimized geometry, PBE.

```
data_CsErCdTe3
_cell_length_a 4.524
_cell_length_b 17.346
_cell_length_c 11.825
_cell_angle_alpha 90.00
_cell_angle_beta 90.00
_cell_angle_gamma 90.00
_symmetry_space_group_name_H-M 'C m c m'
_symmetry_Int_Tables_number 63
_symmetry_space_group_name_Hall '-C 2c 2'
loop_
_atom_site_label
_atom_site_type_symbol
_atom_site_fract_x
_atom_site_fract_y
_atom_site_fract_z
Cs1 Cs 0.000 0.249 0.250
Er1 Er 0.000 0.000 0.000
Cd1 Cd 0.000 0.462 0.750
Te1 Te 0.000 0.065 0.750
Te2 Te 0.000 0.381 0.545
```

Properties
**Energy relative to the elements, uncorrected**: -1.080 eV per atom
**Volume**: 38.66 Å³ per atom

(8)
CsErCdTe3: optimized geometry, PBE.

```
data_CsErCdTe3
_cell_length_a 10.140
_cell_length_b 4.536
_cell_length_c 11.203
_cell_angle_alpha 90.00
_cell_angle_beta 111.42
_cell_angle_gamma 90.00
_symmetry_space_group_name_H-M 'P 1 21/m 1'
_symmetry_Int_Tables_number 11
loop_
_symmetry_equiv_pos_as_xyz
'x,y,z'
'-x,-y,-z'
'-x,y+1/2,-z'
'x,-y+1/2,z'
loop_
_atom_site_label
_atom_site_type_symbol
_atom_site_fract_x
_atom_site_fract_y
_atom_site_fract_z
Cs1 Cs 0.220 0.250 0.248
Er1 Er 0.331 0.750 0.866
Cd1 Cd 0.081 0.250 0.611
Te1 Te 0.121 0.250 0.872
Te2 Te 0.225 0.750 0.553
Te3 Te 0.474 0.750 0.154
```

Properties
**Energy relative to the elements, uncorrected**: -1.069 eV per atom
**Volume**: 39.98 Å³ per atom

(9)
CsEuCd4: optimized geometry, PBE.

```
data_CsEuCd4
_cell_length_a 9.067
_cell_length_b 9.067
_cell_length_c 9.067
_cell_angle_alpha 90.00
_cell_angle_beta 90.00
_cell_angle_gamma 90.00
_symmetry_space_group_name_H-M 'F -4 3 m'
_symmetry_Int_Tables_number 216
_symmetry_space_group_name_Hall 'F -4 2 3'
loop_
_atom_site_label
_atom_site_type_symbol
_atom_site_fract_x
_atom_site_fract_y
_atom_site_fract_z
Cs1 Cs 0.000 0.000 0.000
Eu1 Eu 0.250 0.250 0.250
Cd1 Cd 0.124 0.124 0.624
```

Properties
**Calculated formation energy**: -0.43 eV per formula unit
**Volume**: 31.06 Å³ per atom

(10)
CsCdF3: optimized geometry, PBE.

```
data_CsCdF3
_cell_length_a 6.518
_cell_length_b 16.676
_cell_length_c 5.540
_cell_angle_alpha 90.00
_cell_angle_beta 90.00
_cell_angle_gamma 90.00
_symmetry_space_group_name_H-M 'C m c m'
_symmetry_Int_Tables_number 63
_symmetry_space_group_name_Hall '-C 2c 2'
loop_
_atom_site_label
_atom_site_type_symbol
_atom_site_fract_x
_atom_site_fract_y
_atom_site_fract_z
Cs1 Cs 0.000 0.174 0.250
Cd1 Cd 0.000 0.402 0.250
F1 F 0.000 0.500 0.000
F2 F 0.245 0.176 0.750
```

Properties
**Energy relative to the elements, uncorrected**: -2.283 eV per atom
**Volume**: 30.11 Å³ per atom

(11)
Cs2CdF6: optimized geometry, PBE.

```
data_Cs2CdF6
_cell_length_a 6.5500
_cell_length_b 6.5500
_cell_length_c 10.3873
_cell_angle_alpha 90.00
_cell_angle_beta 90.00
_cell_angle_gamma 120.00
_symmetry_space_group_name_H-M 'P 63 m c'
_symmetry_Int_Tables_number 186
_symmetry_space_group_name_Hall 'P 6c -2c'
loop_
_atom_site_label
_atom_site_type_symbol
_atom_site_fract_x
_atom_site_fract_y
_atom_site_fract_z
Cs1 Cs 0.0000 0.0000 0.0000
Cs2 Cs 0.3333 0.6667 0.2702
Cd1 Cd 0.3333 0.6667 0.6589
F1 F 0.0338 0.5169 0.5385
F2 F 0.1748 0.3495 0.7647
```

Properties
**Energy relative to the elements, uncorrected**: -1.980 eV per atom
**Volume**: 21.44 Å³ per atom

(12)
Cs3CdF4: optimized geometry, PBE.

```
data_Cs3CdF4
_cell_length_a 7.431
_cell_length_b 7.431
_cell_length_c 7.431
_cell_angle_alpha 90.00
_cell_angle_beta 90.00
_cell_angle_gamma 90.00
_symmetry_space_group_name_H-M 'I -4 3 m'
_symmetry_Int_Tables_number 217
_symmetry_space_group_name_Hall 'I -4 2 3'
loop_
_atom_site_label
_atom_site_type_symbol
_atom_site_fract_x
_atom_site_fract_y
_atom_site_fract_z
Cs1 Cs 0.000 0.000 0.500
Cd1 Cd 0.000 0.000 0.000
F1 F 0.192 0.192 0.192
```

Properties
**Energy relative to the elements, uncorrected**: -2.153 eV per atom
**Volume**: 25.65 Å³ per atom

(13)
Cs6Cd2F: optimized geometry, PBE.

```
data_Cs6Cd2F
_cell_length_a 8.767
_cell_length_b 10.259
_cell_length_c 15.106
_cell_angle_alpha 90.00
_cell_angle_beta 123.72
_cell_angle_gamma 90.00
_symmetry_space_group_name_H-M 'P 1 21/c 1'
_symmetry_Int_Tables_number 14
loop_
_symmetry_equiv_pos_as_xyz
'x,y,z'
'-x,-y,-z'
'-x,y+1/2,-z+1/2'
'x,-y+1/2,z+1/2'
loop_
_atom_site_label
_atom_site_type_symbol
_atom_site_fract_x
_atom_site_fract_y
_atom_site_fract_z
Cs1 Cs 0.132 0.021 0.232
Cs2 Cs 0.208 0.703 0.051
Cs3 Cs 0.342 0.154 0.046
Cd1 Cd 0.295 0.106 0.746
F1 F 0.000 0.000 0.000
```

Properties
**Energy relative to the elements, uncorrected**: -0.562 eV per atom
**Volume**: 62.78 Å³ per atom

(14)
CsCdF3: optimized geometry, PBE.

```
data_CsCdF3
_cell_length_a 4.591
_cell_length_b 16.655
_cell_length_c 5.601
_cell_angle_alpha 90.00
_cell_angle_beta 90.00
_cell_angle_gamma 90.00
_symmetry_space_group_name_H-M 'C m c m'
_symmetry_Int_Tables_number 63
_symmetry_space_group_name_Hall '-C 2c 2'
loop_
_atom_site_label
_atom_site_type_symbol
_atom_site_fract_x
_atom_site_fract_y
_atom_site_fract_z
Cs1 Cs 0.000 0.176 0.250
Cd1 Cd 0.000 0.447 0.250
F1 F 0.000 0.000 0.000
F2 F 0.246 0.161 0.750
```

Properties
**Energy relative to the elements, uncorrected**: -1.817 eV per atom
**Volume**: 21.41 Å³ per atom

(15)
Cs2Cd2F7: optimized geometry, PBE.

```
data_Cs2Cd2F7
_cell_length_a 4.496
_cell_length_b 7.590
_cell_length_c 8.070
_cell_angle_alpha 112.98
_cell_angle_beta 98.24
_cell_angle_gamma 106.60
_symmetry_space_group_name_H-M 'P -1'
_symmetry_Int_Tables_number 2
loop_
_symmetry_equiv_pos_as_xyz
'x,y,z'
'-x,-y,-z'
loop_
_atom_site_label
_atom_site_type_symbol
_atom_site_fract_x
_atom_site_fract_y
_atom_site_fract_z
Cs1 Cs 0.190 0.191 0.381
Cd1 Cd 0.347 0.692 0.000
F1 F 0.184 0.372 0.000
F2 F 0.219 0.571 0.704
F3 F 0.486 0.134 0.704
F4 F 0.500 0.000 0.000
```

Properties
**Energy relative to the elements, uncorrected**: -2.213 eV per atom
**Volume**: 21.14 Å³ per atom

(16)
CsCdF3: optimized geometry, PBE.

```
data_CsCdF3
_cell_length_a 7.064
_cell_length_b 7.590
_cell_length_c 7.641
_cell_angle_alpha 90.00
_cell_angle_beta 90.00
_cell_angle_gamma 90.00
_symmetry_space_group_name_H-M 'P n m a'
_symmetry_Int_Tables_number 62
loop_
_symmetry_equiv_pos_as_xyz
'x,y,z'
'-x,-y,-z'
'-x+1/2,-y,z+1/2'
'x+1/2,y,-z+1/2'
'x+1/2,-y+1/2,-z+1/2'
'-x+1/2,y+1/2,z+1/2'
'-x,y+1/2,-z'
'x,-y+1/2,z'
loop_
_atom_site_label
_atom_site_type_symbol
_atom_site_fract_x
_atom_site_fract_y
_atom_site_fract_z
Cs1 Cs 0.000 0.000 0.000
Cd1 Cd 0.012 0.250 0.439
F1 F 0.096 0.556 0.366
F2 F 0.222 0.750 0.763
```

Properties
**Energy relative to the elements, uncorrected**: -2.298 eV per atom
**Volume**: 20.48 Å³ per atom

(17)
Cs2CdF: optimized geometry, PBE.

```
data_Cs2CdF
_cell_length_a 8.727
_cell_length_b 8.727
_cell_length_c 8.727
_cell_angle_alpha 90.00
_cell_angle_beta 90.00
_cell_angle_gamma 90.00
_symmetry_space_group_name_H-M 'F m -3 m'
_symmetry_Int_Tables_number 225
_symmetry_space_group_name_Hall '-F 4 2 3'
loop_
_atom_site_label
_atom_site_type_symbol
_atom_site_fract_x
_atom_site_fract_y
_atom_site_fract_z
Cs1 Cs 0.250 0.250 0.250
Cd1 Cd 0.000 0.000 0.000
F1 F 0.000 0.000 0.500
```

Properties
**Energy relative to the elements, uncorrected**: -0.903 eV per atom
**Relative energy among the computed polymorphs**: 326 meV/atom
**Volume**: 41.54 Å³ per atom

(18)
CsCdF3: optimized geometry, PBE.

```
data_CsCdF3
_cell_length_a 4.5691
_cell_length_b 4.5691
_cell_length_c 9.6219
_cell_angle_alpha 90.00
_cell_angle_beta 90.00
_cell_angle_gamma 120.00
_symmetry_space_group_name_H-M 'P 63/m m c'
_symmetry_Int_Tables_number 194
_symmetry_space_group_name_Hall '-P 6c 2c'
loop_
_atom_site_label
_atom_site_type_symbol
_atom_site_fract_x
_atom_site_fract_y
_atom_site_fract_z
Cs1 Cs 0.3333 0.6667 0.2500
Cd1 Cd 0.0000 0.0000 0.0000
F1 F 0.0000 0.0000 0.2500
F2 F 0.3333 0.6667 0.5519
```

Properties
**Energy relative to the elements, uncorrected**: -2.078 eV per atom
**Volume**: 17.40 Å³ per atom

(19)
CsCdF3: optimized geometry, PBE.

```
data_CsCdF3
_cell_length_a 15.730
_cell_length_b 3.604
_cell_length_c 8.355
_cell_angle_alpha 90.00
_cell_angle_beta 103.13
_cell_angle_gamma 90.00
_symmetry_space_group_name_H-M 'C 1 2/m 1'
_symmetry_Int_Tables_number 12
loop_
_symmetry_equiv_pos_as_xyz
'x,y,z'
'-x,-y,-z'
'-x,y,-z'
'x,-y,z'
'x+1/2,y+1/2,z'
'-x+1/2,-y+1/2,-z'
'-x+1/2,y+1/2,-z'
'x+1/2,-y+1/2,z'
loop_
_atom_site_label
_atom_site_type_symbol
_atom_site_fract_x
_atom_site_fract_y
_atom_site_fract_z
Cs1 Cs 0.122 0.000 0.363
Cd1 Cd 0.157 0.500 0.857
F1 F 0.066 0.000 0.768
F2 F 0.190 0.000 0.045
F3 F 0.192 0.500 0.619
```

Properties
**Energy relative to the elements, uncorrected**: -2.330 eV per atom
**Volume**: 23.06 Å³ per atom

(20)
CsCdF3: optimized geometry, PBE.

```
data_CsCdF3
_cell_length_a 4.558
_cell_length_b 4.558
_cell_length_c 4.558
_cell_angle_alpha 90.00
_cell_angle_beta 90.00
_cell_angle_gamma 90.00
_symmetry_space_group_name_H-M 'P m -3 m'
_symmetry_Int_Tables_number 221
_symmetry_space_group_name_Hall '-P 4 2 3'
loop_
_atom_site_label
_atom_site_type_symbol
_atom_site_fract_x
_atom_site_fract_y
_atom_site_fract_z
Cs1 Cs 0.000 0.000 0.000
Cd1 Cd 0.500 0.500 0.500
F1 F 0.000 0.500 0.500
```

Properties
**Energy relative to the elements, uncorrected**: -2.465 eV per atom
**Volume**: 18.94 Å³ per atom